[1]
VASP calculation (PBE) on a relaxed structure of Pa4Ir.

Lattice parameters (Å, degrees): 5.3060 5.3060 5.3060 90.00 90.00 90.00
Sites, in units of the cell vectors:
Ir 0.5000 0.5000 0.5000
Pa 0.0000 0.0000 0.0000
Pa 0.5000 0.0000 0.5000
Pa 0.0000 0.5000 0.5000
Pa 0.5000 0.5000 0.0000

**Energy above the most stable polymorph in this dataset**: 2.99 eV/f.u.
**Total energy**: -8.9319 eV/atom
**Space group**: Pm-3m, No. 221
**M_tot**: 0.3 μB/cell
**Density of states at the Fermi level**: 11.4 states/eV/cell
**ΔE_f**: 0.44 eV per atom

***

[2]
VASP calculation (PBE) on a relaxed structure of PaIr4.

Lattice parameters (Å, degrees): 4.8902 4.8902 4.8902 90.00 90.00 90.00
Sites, in units of the cell vectors:
Pa 0.5000 0.5000 0.5000
Ir 0.0000 0.0000 0.0000
Ir 0.5000 0.0000 0.5000
Ir 0.0000 0.5000 0.5000
Ir 0.5000 0.5000 0.0000

**Total energy**: -7.1197 eV/atom
**Space group**: Pm-3m, No. 221
**M_tot**: 1.1 μB/cell
**Density of states at the Fermi level**: 9.4 states/eV/cell
**ΔE_f**: 1.87 eV per atom

***

[3]
VASP calculation (PBE) on a relaxed structure of Pa3Ir.

Lattice parameters (Å, degrees): 3.8645 3.8645 7.3526 105.24 105.24 90.00
Sites, in units of the cell vectors:
Pa 0.5000 0.5000 0.0000
Pa 0.2060 0.2060 0.4119
Pa 0.7940 0.7940 0.5881
Ir 0.0000 0.0000 0.0000

**Energy above the most stable polymorph in this dataset**: 1.21 eV/f.u.
**Total energy**: -9.4199 eV/atom
**Space group**: I4/mmm, No. 139
**M_tot**: 0.0 μB/cell
**Density of states at the Fermi level**: 9.1 states/eV/cell
**ΔE_f**: -0.08 eV per atom

***

[4]
VASP calculation (PBE) on a relaxed structure of PaIr.

Lattice parameters (Å, degrees): 4.0023 4.0023 4.0023 60.00 60.00 60.00
Sites, in units of the cell vectors:
Pa 0.0000 0.0000 0.0000
Ir 0.5000 0.5000 0.5000

**Total energy**: -10.0305 eV/atom
**Space group**: Fm-3m, No. 225
**M_tot**: 0.0 μB/cell
**Density of states at the Fermi level**: 2.1 states/eV/cell
**ΔE_f**: -0.85 eV per atom

***

[5]
VASP calculation (PBE) on a relaxed structure of PaIr.

Lattice parameters (Å, degrees): 3.9422 5.5849 4.8588 85.85 113.93 90.00
Sites, in units of the cell vectors:
Pa 0.8923 0.8172 0.7845
Pa 0.1077 0.1828 0.2155
Ir 0.2065 0.6755 0.4129
Ir 0.7935 0.3245 0.5871

**Total energy**: -9.5266 eV/atom
**Space group**: C2/m, No. 12
**M_tot**: 0.0 μB/cell
**Density of states at the Fermi level**: 6.1 states/eV/cell
**ΔE_f**: -0.35 eV per atom

***

[6]
VASP calculation (PBE) on a relaxed structure of Pa3Ir.

Lattice parameters (Å, degrees): 3.4850 5.8605 9.6836 90.00 90.00 107.30
Sites, in units of the cell vectors:
Pa 0.4091 0.8182 0.7500
Pa 0.5909 0.1818 0.2500
Pa 0.1276 0.2553 0.9624
Pa 0.8724 0.7447 0.0376
Pa 0.8724 0.7447 0.4624
Pa 0.1276 0.2553 0.5376
Ir 0.6975 0.3951 0.7500
Ir 0.3025 0.6049 0.2500

**Energy above the most stable polymorph in this dataset**: 0.00 eV/f.u.
**Total energy**: -9.7229 eV/atom
**Space group**: Cmcm, No. 63
**M_tot**: 0.0 μB/cell
**Density of states at the Fermi level**: 13.0 states/eV/cell
**ΔE_f**: -0.39 eV per atom

***

[7]
VASP calculation (PBE) on a relaxed structure of Pa2Ir3.

Lattice parameters (Å, degrees): 4.2997 4.2997 7.0874 72.34 72.34 60.00
Sites, in units of the cell vectors:
Pa 0.4069 0.4069 0.7794
Pa 0.5931 0.5931 0.2206
Ir 0.0000 0.0000 0.0000
Ir 0.8336 0.8336 0.4993
Ir 0.1664 0.1664 0.5007

**Total energy**: -9.7404 eV/atom
**Space group**: R-3m, No. 166
**M_tot**: 0.0 μB/cell
**Density of states at the Fermi level**: 7.3 states/eV/cell
**ΔE_f**: -0.63 eV per atom

***

[8]
VASP calculation (PBE) on a relaxed structure of Pa5Ir.

Lattice parameters (Å, degrees): 4.1355 4.1496 8.2279 104.61 90.00 90.00
Sites, in units of the cell vectors:
Pa 0.5000 0.8292 0.6583
Pa 0.0000 0.6640 0.3281
Pa 0.5000 0.5000 0.0000
Pa 0.0000 0.3360 0.6719
Pa 0.5000 0.1708 0.3417
Ir 0.0000 0.0000 0.0000

**Total energy**: -9.5079 eV/atom
**Space group**: Cmmm, No. 65
**M_tot**: 0.0 μB/cell
**Density of states at the Fermi level**: 10.6 states/eV/cell
**ΔE_f**: -0.12 eV per atom

***

[9]
VASP calculation (PBE) on a relaxed structure of Pa2IrPd6.

Lattice parameters (Å, degrees): 4.0544 6.7031 6.5865 109.05 107.93 90.00
Sites, in units of the cell vectors:
Pa 0.9397 0.1952 0.8795
Pa 0.0603 0.8048 0.1205
Ir 0.5000 0.5000 0.0000
Pd 0.3948 0.8391 0.7895
Pd 0.6052 0.1609 0.2105
Pd 0.7274 0.8343 0.4548
Pd 0.1704 0.5003 0.3407
Pd 0.2726 0.1657 0.5452
Pd 0.8296 0.4997 0.6593

**Total energy**: -7.1856 eV/atom
**Space group**: C2/m, No. 12
**M_tot**: 0.0 μB/cell
**Density of states at the Fermi level**: 5.3 states/eV/cell
**ΔE_f**: -0.63 eV per atom

***

[10]
VASP calculation (PBE) on a relaxed structure of Pa8Ir5Pd.

Lattice parameters (Å, degrees): 7.4434 7.4434 7.4434 109.53 109.35 109.53
Sites, in units of the cell vectors:
Pa 0.1350 0.7848 0.0121
Pa 0.9879 0.1230 0.7727
Pa 0.7414 0.2276 0.3553
Pa 0.6447 0.3860 0.8722
Pa 0.4862 0.6140 0.2586
Pa 0.6498 0.8770 0.8650
Pa 0.2273 0.2152 0.3502
Pa 0.1278 0.7724 0.5138
Ir 0.0100 0.3951 0.1491
Ir 0.8509 0.8609 0.2459
Ir 0.7541 0.6049 0.6150
Ir 0.5000 0.0000 0.5000
Ir 0.3850 0.1391 0.9900
Pd 0.2500 0.5000 0.7500

**Total energy**: -9.5647 eV/atom
**Space group**: I-4, No. 82
**M_tot**: 0.0 μB/cell
**Density of states at the Fermi level**: 25.8 states/eV/cell
**ΔE_f**: -0.60 eV per atom

***

[11]
VASP calculation (PBE) on a relaxed structure of PaIr4Pd.

Lattice parameters (Å, degrees): 5.2673 5.2673 5.2673 60.00 60.00 60.00
Sites, in units of the cell vectors:
Pa 0.2500 0.2500 0.2500
Pd 0.0000 0.0000 0.0000
Ir 0.6252 0.6252 0.1244
Ir 0.6252 0.1244 0.6252
Ir 0.6252 0.6252 0.6252
Ir 0.1244 0.6252 0.6252

**Total energy**: -8.7695 eV/atom
**Space group**: F-43m, No. 216
**M_tot**: 0.0 μB/cell
**Density of states at the Fermi level**: 9.6 states/eV/cell
**ΔE_f**: -0.41 eV per atom

***

[12]
VASP calculation (PBE) on a relaxed structure of Pa2IrPd.

Lattice parameters (Å, degrees): 3.0813 3.0813 10.2985 81.40 81.40 60.00
Sites, in units of the cell vectors:
Pa 0.0886 0.0886 0.7342
Pa 0.9114 0.9114 0.2658
Pd 0.0000 0.0000 0.0000
Ir 0.5000 0.5000 0.5000

**Total energy**: -8.3509 eV/atom
**Space group**: R-3m, No. 166
**M_tot**: 0.0 μB/cell
**Density of states at the Fermi level**: 6.7 states/eV/cell
**ΔE_f**: -0.09 eV per atom

***

> Number 10 is which compound?

Pa8Ir5Pd